(1)
DFT (GGA-PBE) results for crystalline HgOsCl2F6 at its relaxed geometry.

The raw total energy comes out at -4.0234 eV per atom. The uncorrected formation energy is -1378 meV/atom. For the volume, the calculation gives 441.3 Å³/cell.

It has space group Pmmn (No. 59, origin choice 2), with a = 6.4989 Å, b = 9.4536 Å, c = 7.1823 Å, α = 90.00°, β = 90.00° and γ = 90.00°. Symmetry generates all atoms from Hg at (0.2500, 0.2500, 0.0007), Os at (0.2500, 0.7500, 0.4988), Cl at (0.2500, 0.0066, 0.0004), F at (0.0443, 0.7500, 0.3116), F at (0.0443, 0.7500, 0.6860) and F at (0.2500, 0.5517, 0.4988).



(2)
DFT (GGA-PBE) results for crystalline HgPCl2F at its relaxed geometry.

The raw total energy comes out at -2.2233 eV per atom. The uncorrected formation energy is 32 meV/atom. For the volume, the calculation gives 111.8 Å³/cell.

It has space group P4/mmm (No. 123), with a = 5.5550 Å, b = 5.5550 Å, c = 3.6235 Å, α = 90.00°, β = 90.00° and γ = 90.00°. Symmetry generates all atoms from Hg at (0.0000, 0.0000, 0.0000), P at (0.5000, 0.5000, 0.0000), Cl at (0.0000, 0.5000, 0.5000) and F at (0.5000, 0.5000, 0.5000).



(3)
DFT (GGA-PBE) results for crystalline Hg2PCl2F4 at its relaxed geometry.

The raw total energy comes out at -3.2572 eV per atom. The uncorrected formation energy is -1347 meV/atom. For the volume, the calculation gives 378.8 Å³/cell.

It has space group C2/m (No. 12), with a = 13.0068 Å, b = 5.6991 Å, c = 5.1325 Å, α = 90.00°, β = 95.32° and γ = 90.00°. Symmetry generates all atoms from Hg at (0.1611, 0.0000, 0.3207), P at (0.0000, 0.0000, 0.0000), Cl at (0.1881, 0.5000, 0.3282) and F at (0.0501, 0.2038, 0.8225).



(4)
DFT (GGA-PBE) results for crystalline HgPCl2F at its relaxed geometry.

The raw total energy comes out at -1.8175 eV per atom. The uncorrected formation energy is 438 meV/atom. For the volume, the calculation gives 136.8 Å³/cell.

It has space group P4/mmm (No. 123), with a = 5.0988 Å, b = 5.0988 Å, c = 5.2625 Å, α = 90.00°, β = 90.00° and γ = 90.00°. Symmetry generates all atoms from Hg at (0.0000, 0.0000, 0.0000), P at (0.0000, 0.0000, 0.5000), Cl at (0.0000, 0.5000, 0.0000) and F at (0.5000, 0.5000, 0.5000).



(5)
DFT (GGA-PBE) results for crystalline PaHgCl2F6 at its relaxed geometry.

The raw total energy comes out at -4.7427 eV per atom. The uncorrected formation energy is -2271 meV/atom. For the volume, the calculation gives 738.7 Å³/cell.

It has space group Fm-3m (No. 225), with a = 9.0398 Å, b = 9.0398 Å, c = 9.0398 Å, α = 90.00°, β = 90.00° and γ = 90.00°. Symmetry generates all atoms from Pa at (0.0000, 0.0000, 0.0000), Hg at (0.0000, 0.0000, 0.5000), Cl at (0.2500, 0.2500, 0.2500) and F at (0.0000, 0.0000, 0.2353).



(6)
DFT (GGA-PBE) results for crystalline PmHgClF4 at its relaxed geometry.

The raw total energy comes out at -4.6454 eV per atom. The uncorrected formation energy is -2591 meV/atom. For the volume, the calculation gives 558.9 Å³/cell.

It has space group C2/m (No. 12), with a = 10.9600 Å, b = 7.2474 Å, c = 7.1545 Å, α = 90.00°, β = 100.45° and γ = 90.00°. Symmetry generates all atoms from Pm at (0.2101, 0.0000, 0.0769), Hg at (0.1002, 0.5000, 0.3523), Cl at (0.0120, 0.0000, 0.7681), F at (0.0721, 0.5000, 0.8224), F at (0.2072, 0.3120, 0.1460) and F at (0.2446, 0.5000, 0.5808).



(7)
DFT (GGA-PBE) results for crystalline Rb3Hg2Cl4F3 at its relaxed geometry.

The raw total energy comes out at -3.0065 eV per atom. The uncorrected formation energy is -1631 meV/atom. For the volume, the calculation gives 658.7 Å³/cell.

It has space group Imm2 (No. 44), with a = 4.7431 Å, b = 25.6201 Å, c = 5.4206 Å, α = 90.00°, β = 90.00° and γ = 90.00°. Symmetry generates all atoms from Rb at (0.0000, 0.0000, 0.0000), Rb at (0.0000, 0.1760, 0.0988), Hg at (0.0000, 0.4085, 0.1404), Cl at (0.0000, 0.3065, 0.1395), Cl at (0.0000, 0.4137, 0.6587), F at (0.0000, 0.0926, 0.7084) and F at (0.0000, 0.5000, 0.1869).



(8)
DFT (GGA-PBE) results for crystalline RbHgClF2 at its relaxed geometry.

The raw total energy comes out at -3.0404 eV per atom. The uncorrected formation energy is -1669 meV/atom. For the volume, the calculation gives 115.9 Å³/cell.

It has space group P4/mmm (No. 123), with a = 4.6927 Å, b = 4.6927 Å, c = 5.2653 Å, α = 90.00°, β = 90.00° and γ = 90.00°. Symmetry generates all atoms from Rb at (0.0000, 0.0000, 0.0000), Hg at (0.5000, 0.5000, 0.5000), Cl at (0.5000, 0.5000, 0.0000) and F at (0.0000, 0.5000, 0.5000).



Among the records above, which one has the highest raw total energy?
number 4



Among the records above, which one has the lowest volume?
number 2



Repeat the fifth record exactly.
DFT (GGA-PBE) results for crystalline PaHgCl2F6 at its relaxed geometry.

The raw total energy comes out at -4.7427 eV per atom. The uncorrected formation energy is -2271 meV/atom. For the volume, the calculation gives 738.7 Å³/cell.

It has space group Fm-3m (No. 225), with a = 9.0398 Å, b = 9.0398 Å, c = 9.0398 Å, α = 90.00°, β = 90.00° and γ = 90.00°. Symmetry generates all atoms from Pa at (0.0000, 0.0000, 0.0000), Hg at (0.0000, 0.0000, 0.5000), Cl at (0.2500, 0.2500, 0.2500) and F at (0.0000, 0.0000, 0.2353).



Please write out number 7 again, unchanged.
DFT (GGA-PBE) results for crystalline Rb3Hg2Cl4F3 at its relaxed geometry.

The raw total energy comes out at -3.0065 eV per atom. The uncorrected formation energy is -1631 meV/atom. For the volume, the calculation gives 658.7 Å³/cell.

It has space group Imm2 (No. 44), with a = 4.7431 Å, b = 25.6201 Å, c = 5.4206 Å, α = 90.00°, β = 90.00° and γ = 90.00°. Symmetry generates all atoms from Rb at (0.0000, 0.0000, 0.0000), Rb at (0.0000, 0.1760, 0.0988), Hg at (0.0000, 0.4085, 0.1404), Cl at (0.0000, 0.3065, 0.1395), Cl at (0.0000, 0.4137, 0.6587), F at (0.0000, 0.0926, 0.7084) and F at (0.0000, 0.5000, 0.1869).